[1]
Ho3Hg4: optimized geometry, PBE-GGA.

Unit cell a=7.8018 b=7.8018 c=7.8018 alpha=109.47 beta=109.47 gamma=109.47
Atoms (fractional coordinates):
Ho  0.1250  0.7500  0.8750
Ho  0.2500  0.6250  0.3750
Ho  0.3750  0.2500  0.6250
Ho  0.6250  0.3750  0.2500
Ho  0.7500  0.8750  0.1250
Ho  0.8750  0.1250  0.7500
Hg  0.0000  0.3335  0.5000
Hg  0.0000  0.8335  0.5000
Hg  0.1665  0.1665  0.1665
Hg  0.3335  0.5000  0.0000
Hg  0.5000  0.0000  0.3335
Hg  0.5000  0.0000  0.8335
Hg  0.6665  0.6665  0.6665
Hg  0.8335  0.5000  0.0000

Results
V   26.1 Å³/atom
Formation enthalpy at 0 K   -0.416 eV per atom
Magnetic moment   0.000 μB per cell
Symmetry   I-43d (220)
ΔE to the lowest computed polymorph   0.00 eV/f.u.
Mass density   11.78 g/cm3


[2]
Ir2PbN: optimized geometry, PBE-GGA.

Unit cell a=4.4472 b=4.4472 c=4.4472 alpha=60.00 beta=60.00 gamma=60.00
Atoms (fractional coordinates):
Ir  0.2500  0.2500  0.2500
Ir  0.7500  0.7500  0.7500
Pb  0.0000  0.0000  0.0000
N  0.5000  0.5000  0.5000

Results
V   15.5 Å³/atom
Magnetic moment   0.915 μB per cell
Formation energy from raw total energies   1.61 eV/atom
Symmetry   Fm-3m (225)
ΔE to the lowest computed polymorph   4.19 eV/f.u.
Mass density   16.17 g/cm3


[3]
CsRb2MgPb: optimized geometry, PBE-GGA.

Unit cell a=7.2622 b=7.2622 c=5.6072 alpha=90.00 beta=90.00 gamma=90.00
Atoms (fractional coordinates):
Cs  0.0000  0.0000  0.0000
Rb  0.0000  0.5000  0.5000
Rb  0.5000  0.0000  0.5000
Mg  0.5000  0.5000  0.5000
Pb  0.5000  0.5000  0.0000

Results
V   59.1 Å³/atom
Formation enthalpy at 0 K   0.087 eV per atom
Magnetic moment   0.505 μB per cell
Symmetry   P4/mmm (123)
ΔE to the lowest computed polymorph   0.16 eV/f.u.
Mass density   3.01 g/cm3


[4]
TbZrNb: optimized geometry, PBE-GGA.

Unit cell a=5.9803 b=5.9803 c=5.9803 alpha=144.15 beta=144.15 gamma=51.61
Atoms (fractional coordinates):
Tb  0.0000  0.0000  0.0000
Zr  0.2971  0.2971  0.0000
Nb  0.6900  0.6900  0.0000

Results
V   24.3 Å³/atom
Formation enthalpy at 0 K   0.175 eV per atom
Magnetic moment   0.000 μB per cell
Symmetry   I4mm (107)
ΔE to the lowest computed polymorph   0.00 eV/f.u.
Mass density   7.81 g/cm3


[5]
LiCeNdGd: optimized geometry, PBE-GGA.

Unit cell a=5.4654 b=5.4654 c=5.4654 alpha=60.00 beta=60.00 gamma=60.00
Atoms (fractional coordinates):
Li  0.0000  0.0000  0.0000
Ce  0.5000  0.5000  0.5000
Nd  0.2500  0.2500  0.2500
Gd  0.7500  0.7500  0.7500

Results
V   28.9 Å³/atom
Formation enthalpy at 0 K   0.255 eV per atom
Magnetic moment   10.213 μB per cell
Symmetry   F-43m (216)
Mass density   6.45 g/cm3


[6]
Ba6AcO8: optimized geometry, PBE-GGA.

Unit cell a=7.9024 b=7.9024 c=7.9024 alpha=60.00 beta=60.00 gamma=60.00
Atoms (fractional coordinates):
Ba  0.0000  0.0000  0.5000
Ba  0.0000  0.5000  0.0000
Ba  0.0000  0.5000  0.5000
Ba  0.5000  0.0000  0.0000
Ba  0.5000  0.0000  0.5000
Ba  0.5000  0.5000  0.0000
Ac  0.0000  0.0000  0.0000
O  0.2210  0.2210  0.7790
O  0.2210  0.7790  0.2210
O  0.2210  0.7790  0.7790
O  0.2500  0.2500  0.2500
O  0.7500  0.7500  0.7500
O  0.7790  0.2210  0.2210
O  0.7790  0.2210  0.7790
O  0.7790  0.7790  0.2210

Results
V   23.3 Å³/atom
Magnetic moment   1.094 μB per cell
Formation energy from raw total energies   -2.49 eV/atom
Symmetry   Fm-3m (225)
Mass density   5.61 g/cm3


[7]
Mn2CuPd6: optimized geometry, PBE-GGA.

Unit cell a=8.1645 b=8.1645 c=4.0307 alpha=90.00 beta=90.00 gamma=90.00
Atoms (fractional coordinates):
Mn  0.1809  0.1809  0.0000
Mn  0.3191  0.6809  0.5000
Mn  0.6809  0.3191  0.5000
Mn  0.8191  0.8191  0.0000
Cu  0.0000  0.0000  0.5000
Cu  0.5000  0.5000  0.0000
Pd  0.0112  0.3277  0.5000
Pd  0.1466  0.8534  0.0000
Pd  0.1723  0.5112  0.0000
Pd  0.3277  0.0112  0.5000
Pd  0.3534  0.3534  0.5000
Pd  0.4888  0.8277  0.0000
Pd  0.5112  0.1723  0.0000
Pd  0.6466  0.6466  0.5000
Pd  0.6723  0.9888  0.5000
Pd  0.8277  0.4888  0.0000
Pd  0.8534  0.1466  0.0000
Pd  0.9888  0.6723  0.5000

Results
V   14.9 Å³/atom
Formation enthalpy at 0 K   -0.202 eV per atom
Magnetic moment   19.024 μB per cell
Symmetry   P4_2/mnm (136)
ΔE to the lowest computed polymorph   0.00 eV/f.u.
Mass density   10.04 g/cm3